A plane-wave DFT calculation with PBE was carried out for a relaxed structure of BaBiIrO6.

Properties
* V: 303.7 Å³ per cell

a = 5.4001 Å, b = 5.4001 Å, c = 10.4136 Å
α = 90.00°, β = 90.00°, γ = 90.00°
With the nearest neighbours (Å) after each atom.
Space group P4_2nm (No. 102)
One atom of each set of equivalent atoms:
1 Ba 0.0000 0.0000 0.0000 x2  6 O 2.56-2.65
2 Bi 0.0000 0.0000 0.3411 x2  4 O 2.24-2.42
3 Ir 0.0000 0.0000 0.6659 x2  6 O 1.87-1.99
4 O 0.1652 0.1652 0.5185 x4  1 Ir 1.99
5 O 0.1899 0.1899 0.7922 x4  1 Ir 1.96
6 O 0.2443 0.7557 0.6719 x4  1 Ir 1.87



A plane-wave DFT calculation with PBE was carried out for a relaxed structure of Ba2BiIr3O12.

Properties
* V: 795.2 Å³ per cell

a = 7.2758 Å, b = 7.2758 Å, c = 17.3448 Å
α = 90.00°, β = 90.00°, γ = 120.00°
With the nearest neighbours (Å) after each atom.
Space group R-3m (No. 166, hexagonal axes)
One atom of each set of equivalent atoms:
1 Ba 0.0000 0.0000 0.1137 x6  6 O 2.79-3.11
2 Bi 0.0000 0.0000 0.5000 x3  6 O 2.34
3 Ir 0.0000 0.5000 0.0000 x9  6 O 1.94-1.95
4 O 0.0050 0.5025 0.8884 x18  1 Ir 1.94
5 O 0.0547 0.5274 0.3305 x18  2 Ir 1.95



A plane-wave DFT calculation with PBE was carried out for a relaxed structure of BaBiIr2O8.

Properties
* V: 231.3 Å³ per cell

a = 5.7781 Å, b = 5.7781 Å, c = 8.0000 Å
α = 90.00°, β = 90.00°, γ = 120.00°
With the nearest neighbours (Å) after each atom.
Space group P-3 (No. 147)
One atom of each set of equivalent atoms:
1 Ba 0.0000 0.0000 0.0000 x1  6 O 2.90
2 Bi 0.0000 0.0000 0.5000 x1  6 O 2.33
3 Ir 0.3333 0.6667 0.7698 x2  4 O 1.82-1.86
4 O 0.0823 0.3216 0.7031 x6  1 Ir 1.86
5 O 0.3333 0.6667 0.9979 x2  1 Ir 1.82



A plane-wave DFT calculation with PBE was carried out for a relaxed structure of Ba3BiIrRuO9.

Properties
* V: 936.3 Å³ per cell

a = 6.0380 Å, b = 10.3873 Å, c = 14.9423 Å
α = 90.00°, β = 92.44°, γ = 90.00°
With the nearest neighbours (Å) after each atom.
Space group Cc (No. 9)
One atom of each set of equivalent atoms:
1 Ba 0.0000 0.0081 0.0000 x4  10 O 2.73-3.04
2 Ba 0.0087 0.3342 0.3448 x4  6 O 2.78-2.95
3 Ba 0.4938 0.1673 0.1577 x4  7 O 2.80-3.13
4 Bi 0.0015 0.0003 0.2509 x4  6 O 2.28-2.36
5 Ir 0.0182 0.3355 0.9158 x4  6 O 2.00-2.06
6 Ru 0.4825 0.1649 0.5850 x4  6 O 1.96-2.06
7 O 0.0440 0.1745 0.8421 x4  1 Ir 2.01
8 O 0.1871 0.4076 0.1772 x4  1 Ru 1.96
9 O 0.2265 0.0919 0.6459 x4  1 Ru 1.98
10 O 0.2311 0.2615 0.0134 x4  1 Ru 2.03, 1 Ir 2.05
11 O 0.2686 0.2381 0.4874 x4  1 Ir 2.03, 1 Ru 2.05
12 O 0.2762 0.4086 0.8519 x4  1 Ir 2.01
13 O 0.3125 0.0927 0.3195 x4  1 Ir 2.00
14 O 0.4564 0.3262 0.6539 x4  1 Ru 1.98
15 O 0.4988 0.0087 0.5006 x4  1 Ru 2.06, 1 Ir 2.06



| no. | E_form (uncorrected) (meV per atom) | uncorrected energy (eV/atom) |
| --- | --- | --- |
| 1 | -1151 | -6.09 |
| 2 | -1236 | -6.45 |
| 3 | -883 | -6.15 |
| 4 | -1733 | -6.56 |